Here is an optimized crystal structure of LaNdErLu from Alexandria. Energies are from PBE-GGA.

Computed properties:
Uncorrected energy = -18.46 eV/f.u.
Spin magnetization = 0.00 μB per cell
Formation energy = 0.08 eV/atom

Cell lengths 5.7381, 5.7381, 5.7381 Å; angles 60.00, 60.00, 60.00 degrees
Last column: nearest neighbours and their distance in Å.
Positions (direct):
Er1 0.0000 0.0000 0.0000  4 Nd 3.51, 4 La 3.51
Lu1 0.5000 0.5000 0.5000  4 La 3.51, 4 Nd 3.51
Nd1 0.7500 0.7500 0.7500  4 Lu 3.51, 4 Er 3.51
La1 0.2500 0.2500 0.2500  4 Er 3.51, 4 Lu 3.51



Here is an optimized crystal structure of Sn2Bi2Pd from Alexandria. Energies are from PBE-GGA.

Computed properties:
Uncorrected energy = -20.92 eV/f.u.
Energy above the lowest structure with this stoichiometry = 0.00 eV per formula unit
Spin magnetization = 0.00 μB per cell
Formation energy = 0.01 eV/atom

Cell lengths 7.0231, 7.0231, 5.5280 Å; angles 90.00, 90.00, 90.00 degrees
Last column: nearest neighbours and their distance in Å.
Positions (direct):
Bi1 0.1718 0.6718 0.5000  6 Sn 3.28-3.58, 1 Bi 3.41
Bi2 0.6718 0.8282 0.5000  6 Sn 3.28-3.58, 1 Bi 3.41
Bi3 0.8282 0.3282 0.5000  6 Sn 3.28-3.58, 1 Bi 3.41
Bi4 0.3282 0.1718 0.5000  6 Sn 3.28-3.58, 1 Bi 3.41
Pd1 0.0000 0.0000 0.0000  4 Sn 2.67
Pd2 0.5000 0.5000 0.0000  4 Sn 2.67
Sn1 0.3494 0.8494 0.0000  2 Pd 2.67, 1 Sn 2.99
Sn2 0.8494 0.6506 0.0000  2 Pd 2.67, 1 Sn 2.99
Sn3 0.6506 0.1506 0.0000  2 Pd 2.67, 1 Sn 2.99
Sn4 0.1506 0.3494 0.0000  2 Pd 2.67, 1 Sn 2.99



Here is an optimized crystal structure of PtPbN2F from Alexandria. Energies are from PBE-GGA.

Computed properties:
Uncorrected energy = -26.39 eV/f.u.
ΔE_f (raw) = 376 meV/atom
Energy above the lowest structure with this stoichiometry = 0.00 eV per formula unit
Spin magnetization = 0.00 μB per cell

Cell lengths 3.8652, 3.8652, 5.9246 Å; angles 90.00, 90.00, 90.00 degrees
Last column: nearest neighbours and their distance in Å.
Positions (direct):
Pb1 0.5000 0.5000 0.5000  4 F 2.73
N1 0.0000 0.5000 0.0000  2 Pt 1.93
N2 0.5000 0.0000 0.0000  2 Pt 1.93
Pt1 0.0000 0.0000 0.0000  4 N 1.93
F1 0.0000 0.0000 0.5000  4 Pb 2.73, 2 Pt 2.96



Here is an optimized crystal structure of Ac2Sb2H4Ir from Alexandria. Energies are from PBE-GGA.

Computed properties:
Uncorrected energy = -42.54 eV/f.u.
Spin magnetization = 0.00 μB per cell

Cell lengths 6.2427, 6.2427, 6.2427 Å; angles 92.59, 118.51, 118.51 degrees
Last column: nearest neighbours and their distance in Å.
Positions (direct):
Ac1 0.5000 0.7500 0.2500  8 H 3.17, 4 Sb 3.25
Ac2 0.5000 0.2500 0.7500  8 H 3.17, 4 Sb 3.25
Sb1 0.0000 0.6758 0.6758  1 Ir 2.80, 1 Sb 3.03
Sb2 0.0000 0.3242 0.3242  1 Ir 2.80, 1 Sb 3.03
H1 0.0000 0.8113 0.1887  1 Ir 1.70
H2 0.6226 0.8113 0.8113  1 Ir 1.70
H3 0.0000 0.1887 0.8113  1 Ir 1.70
H4 0.3774 0.1887 0.1887  1 Ir 1.70
Ir1 0.0000 0.0000 0.0000  4 H 1.70